Run one
This record from the Alexandria database describes a relaxed Nb3CuTe crystal. The functional is GGA-PBE.

Cell lengths 5.017, 5.017, 5.017 Å; angles 90.00, 90.00, 90.00 degrees
Space group Pm-3m (No. 221)
Symmetry-distinct sites (fractional):
Nb1 0.000 0.000 0.500 [3 per cell]
Cu1 0.500 0.500 0.500 [1 per cell]
Te1 0.000 0.000 0.000 [1 per cell]

Results
magnetization = 0.00 Bohr magnetons per cell
theoretical density = 6.18 g/cm³
density of states at the Fermi level = 11.54 states/eV/cell

Run two
This record from the Alexandria database describes a relaxed Nb3CuTe crystal. The functional is GGA-PBE.

Cell lengths 4.720, 4.720, 4.720 Å; angles 90.00, 90.00, 90.00 degrees
Space group Pm-3m (No. 221)
Symmetry-distinct sites (fractional):
Nb1 0.000 0.000 0.500 [3 per cell]
Cu1 0.000 0.000 0.000 [1 per cell]
Te1 0.500 0.500 0.500 [1 per cell]

Results
magnetization = 0.00 Bohr magnetons per cell
theoretical density = 7.42 g/cm³
density of states at the Fermi level = 6.21 states/eV/cell

What should be chosen as the least stable of them? Choose run one.

Run one
This record from the Alexandria database describes a relaxed Ti3NbCu crystal. The functional is GGA-PBE.

Cell lengths 4.558, 4.558, 4.558 Å; angles 90.00, 90.00, 90.00 degrees
Space group Pm-3m (No. 221)
Symmetry-distinct sites (fractional):
Ti1 0.000 0.000 0.500 [3 per cell]
Nb1 0.500 0.500 0.500 [1 per cell]
Cu1 0.000 0.000 0.000 [1 per cell]

Results
magnetization = 0.00 Bohr magnetons per cell
theoretical density = 5.26 g/cm³
density of states at the Fermi level = 10.45 states/eV/cell

Run two
This record from the Alexandria database describes a relaxed Ti3NbCu crystal. The functional is GGA-PBE.

Cell lengths 4.749, 4.749, 4.749 Å; angles 90.00, 90.00, 90.00 degrees
Space group Pm-3m (No. 221)
Symmetry-distinct sites (fractional):
Ti1 0.000 0.000 0.500 [3 per cell]
Nb1 0.000 0.000 0.000 [1 per cell]
Cu1 0.500 0.500 0.500 [1 per cell]

Results
magnetization = 1.21 Bohr magnetons per cell
theoretical density = 4.65 g/cm³
density of states at the Fermi level = 9.46 states/eV/cell

What should be chosen as the least stable of them? Choose run two.

Run one
This record from the Alexandria database describes a relaxed Ti2Nb2Cu crystal. The functional is GGA-PBE.

Cell lengths 6.925, 6.925, 3.670 Å; angles 90.00, 90.00, 90.00 degrees
Space group P4/mbm (No. 127)
Symmetry-distinct sites (fractional):
Ti1 0.165 0.335 0.000 [4 per cell]
Nb1 0.138 0.638 0.500 [4 per cell]
Cu1 0.000 0.000 0.500 [2 per cell]

Results
magnetization = 0.00 Bohr magnetons per cell
theoretical density = 6.51 g/cm³
density of states at the Fermi level = 12.61 states/eV/cell

Run two
This record from the Alexandria database describes a relaxed Ti2Nb2Cu crystal. The functional is GGA-PBE.

Cell lengths 3.416, 5.172, 5.291 Å; angles 80.93, 71.25, 70.76 degrees
Space group P-1 (No. 2)
Symmetry-distinct sites (fractional):
Ti1 0.094 0.208 0.102 [2 per cell]
Nb1 0.294 0.608 0.305 [2 per cell]
Cu1 0.500 0.000 0.500 [1 per cell]

Results
magnetization = 0.00 Bohr magnetons per cell
theoretical density = 6.87 g/cm³
density of states at the Fermi level = 6.87 states/eV/cell

What should be chosen as the least stable of them? Choose run one.

Run one
This record from the Alexandria database describes a relaxed TiNb3Cu crystal. The functional is GGA-PBE.

Cell lengths 4.671, 4.671, 4.671 Å; angles 90.00, 90.00, 90.00 degrees
Space group Pm-3m (No. 221)
Symmetry-distinct sites (fractional):
Ti1 0.000 0.000 0.000 [1 per cell]
Nb1 0.000 0.500 0.500 [3 per cell]
Cu1 0.500 0.500 0.500 [1 per cell]

Results
magnetization = 1.23 Bohr magnetons per cell
theoretical density = 6.35 g/cm³
density of states at the Fermi level = 8.14 states/eV/cell

Run two
This record from the Alexandria database describes a relaxed TiNb3Cu crystal. The functional is GGA-PBE.

Cell lengths 4.661, 4.661, 4.661 Å; angles 90.00, 90.00, 90.00 degrees
Space group Pm-3m (No. 221)
Symmetry-distinct sites (fractional):
Ti1 0.000 0.000 0.000 [1 per cell]
Nb1 0.000 0.000 0.500 [3 per cell]
Cu1 0.500 0.500 0.500 [1 per cell]

Results
magnetization = 0.00 Bohr magnetons per cell
theoretical density = 6.40 g/cm³
density of states at the Fermi level = 7.54 states/eV/cell

What should be chosen as the least stable of them? Choose run two.

Run one
This record from the Alexandria database describes a relaxed NbTl3Cu crystal. The functional is GGA-PBE.

Cell lengths 5.117, 5.117, 5.117 Å; angles 90.00, 90.00, 90.00 degrees
Space group Pm-3m (No. 221)
Symmetry-distinct sites (fractional):
Nb1 0.000 0.000 0.000 [1 per cell]
Tl1 0.000 0.500 0.500 [3 per cell]
Cu1 0.500 0.500 0.500 [1 per cell]

Results
magnetization = 3.11 Bohr magnetons per cell
theoretical density = 9.54 g/cm³
density of states at the Fermi level = 5.84 states/eV/cell

Run two
This record from the Alexandria database describes a relaxed NbTl3Cu crystal. The functional is GGA-PBE.

Cell lengths 5.518, 5.518, 5.518 Å; angles 90.00, 90.00, 90.00 degrees
Space group Pm-3m (No. 221)
Symmetry-distinct sites (fractional):
Nb1 0.000 0.000 0.000 [1 per cell]
Tl1 0.000 0.000 0.500 [3 per cell]
Cu1 0.500 0.500 0.500 [1 per cell]

Results
magnetization = 0.00 Bohr magnetons per cell
theoretical density = 7.61 g/cm³
density of states at the Fermi level = 4.67 states/eV/cell

What should be chosen as the least stable of them? Choose run two.

Run one
This record from the Alexandria database describes a relaxed Tm2NbCu crystal. The functional is GGA-PBE.

Cell lengths 3.256, 3.256, 8.093 Å; angles 90.00, 90.00, 90.00 degrees
Space group P4/mmm (No. 123)
Symmetry-distinct sites (fractional):
Tm1 0.000 0.000 0.227 [2 per cell]
Nb1 0.500 0.500 0.500 [1 per cell]
Cu1 0.500 0.500 0.000 [1 per cell]

Results
magnetization = 0.00 Bohr magnetons per cell
theoretical density = 9.57 g/cm³
density of states at the Fermi level = 3.05 states/eV/cell

Run two
This record from the Alexandria database describes a relaxed Tm2NbCu crystal. The functional is GGA-PBE.

Cell lengths 3.1366, 3.1366, 31.4043 Å; angles 90.00, 90.00, 120.00 degrees
Space group R-3m (No. 166, hexagonal axes)
Symmetry-distinct sites (fractional):
Tm1 0.0000 0.0000 0.0941 [6 per cell]
Nb1 0.0000 0.0000 0.0000 [3 per cell]
Cu1 0.0000 0.0000 0.5000 [3 per cell]

Results
magnetization = 2.77 Bohr magnetons per cell
theoretical density = 9.20 g/cm³
density of states at the Fermi level = 13.51 states/eV/cell

What should be chosen as the least stable of them? Choose run two.

Run one
This record from the Alexandria database describes a relaxed NbVCu crystal. The functional is GGA-PBE.

Cell lengths 4.2135, 4.2135, 19.4188 Å; angles 90.00, 90.00, 120.00 degrees
Space group R-3m (No. 166, hexagonal axes)
Symmetry-distinct sites (fractional):
Nb1 0.0000 0.0000 0.0702 [6 per cell]
V1 0.0000 0.0000 0.1958 [6 per cell]
Cu1 0.0000 0.0000 0.3404 [6 per cell]

Results
magnetization = 0.00 Bohr magnetons per cell
theoretical density = 6.92 g/cm³
density of states at the Fermi level = 19.95 states/eV/cell

Run two
This record from the Alexandria database describes a relaxed NbVCu crystal. The functional is GGA-PBE.

Cell lengths 2.681, 4.330, 7.594 Å; angles 90.00, 92.00, 90.00 degrees
Space group P2_1/m (No. 11)
Symmetry-distinct sites (fractional):
Nb1 0.003 0.250 0.234 [2 per cell]
V1 0.339 0.750 0.432 [2 per cell]
Cu1 0.459 0.250 0.909 [2 per cell]

Results
magnetization = 0.00 Bohr magnetons per cell
theoretical density = 7.82 g/cm³
density of states at the Fermi level = 7.40 states/eV/cell

What should be chosen as the least stable of them? Choose run one.